VASP calculation (PBE+U) on crystalline CaMnIrO6 at its relaxed geometry.

abc: 5.2787 5.4188 9.1905
angles: 90.00 124.98 90.00
Fractional positions:
Ca1 0.0000 0.1912 0.0000
Ca2 0.0000 0.8088 0.5000
Mn1 0.7403 0.2568 0.2519
Mn2 0.7403 0.7432 0.7519
Ir1 0.2385 0.2577 0.7510
Ir2 0.2385 0.7423 0.2510
O1 0.0807 0.0407 0.2934
O2 0.0807 0.9593 0.7934
O3 0.3874 0.4518 0.2042
O4 0.3874 0.5482 0.7042
O5 0.4899 0.0490 0.7085
O6 0.4899 0.9510 0.2085
O7 0.5752 0.2744 0.9998
O8 0.5752 0.7256 0.4998
O9 0.9020 0.2350 0.5029
O10 0.9020 0.7650 0.0029
O11 0.9895 0.4515 0.7986
O12 0.9895 0.5485 0.2986

Computed properties:
As for the density of states at the Fermi level: 0.56 states/eV/atom. As for the spin magnetization: 2.2 μB per formula unit. The calculation puts the total energy at -119.50 eV for the cell shown.